1.
Below is crystalline RbInSn2S6 at its relaxed geometry, with properties calculated at the PBE-GGA level.

Cell and atoms, written as extended XYZ:
```
20
Lattice="6.652 -7.207 0.000 6.652 7.207 0.000 -2.625 0.000 6.863" Properties=species:S:1:pos:R:3 pbc="T T T"
Rb 4.683 5.532 5.148
Rb 5.995 -5.532 1.716
In 5.995 3.995 1.716
In 4.683 -3.995 5.148
Sn 1.892 1.074 5.714
Sn 3.205 -1.074 2.282
Sn 7.473 1.074 4.581
Sn 8.786 -1.074 1.149
S -0.364 1.206 4.886
S 2.639 3.288 6.352
S 0.949 -1.206 1.454
S 3.476 0.818 3.790
S 6.727 3.288 3.943
S 4.788 -0.818 0.358
S 5.890 0.818 6.505
S 3.951 -3.288 2.920
S 7.203 -0.818 3.073
S 9.729 1.206 5.409
S 8.040 -3.288 0.512
S 11.042 -1.206 1.977
```

- Symmetry: No. 15
- Formation energy (no corrections): -0.481 eV/atom
- VASP energy: -4.13 eV/atom
- Magnetic moment: 0.0 Bohr magnetons per cell


2.
Below is crystalline RbInSnS3 at its relaxed geometry, with properties calculated at the PBE-GGA level.

Cell and atoms, written as extended XYZ:
```
12
Lattice="9.536 0.000 0.000 0.000 4.137 0.000 -1.758 0.000 10.389" Properties=species:S:1:pos:R:3 pbc="T T T"
Rb 1.198 1.034 1.718
Rb 6.580 3.103 8.672
In -0.098 1.034 6.421
In 7.876 3.103 3.968
Sn 2.228 3.103 8.924
Sn 5.550 1.034 1.465
S -0.185 1.034 8.785
S 0.701 3.103 5.103
S 3.688 3.103 1.080
S 4.090 1.034 9.309
S 7.077 1.034 5.286
S 7.963 3.103 1.604
```

- Symmetry: No. 11
- Formation energy (no corrections): -0.689 eV/atom
- VASP energy: -4.04 eV/atom
- Magnetic moment: 0.0 Bohr magnetons per cell


3.
Below is crystalline RbSrInS3 at its relaxed geometry, with properties calculated at the PBE-GGA level.

Cell and atoms, written as extended XYZ:
```
12
Lattice="8.204 -2.593 0.000 8.204 2.593 0.000 -2.116 0.000 8.492" Properties=species:S:1:pos:R:3 pbc="T T T"
Rb 2.349 0.000 0.552
Rb 11.943 0.000 7.940
Sr 1.220 0.000 4.839
Sr 13.072 0.000 3.653
In 6.517 0.000 6.170
In 7.774 0.000 2.322
S -0.527 0.000 2.375
S 4.139 0.000 5.541
S 5.367 0.000 1.885
S 8.925 0.000 6.607
S 10.153 0.000 2.951
S 14.818 0.000 6.117
```

- Symmetry: No. 12
- Formation energy (no corrections): -1.126 eV/atom
- VASP energy: -4.09 eV/atom
- Magnetic moment: 0.0 Bohr magnetons per cell


4.
Below is crystalline Rb3Tb2InS6 at its relaxed geometry, with properties calculated at the PBE-GGA level.

Cell and atoms, written as extended XYZ:
```
12
Lattice="3.514 -6.085 0.000 3.514 6.085 0.000 -2.345 0.000 7.702" Properties=species:S:1:pos:R:3 pbc="T T T"
Rb 0.000 0.000 0.000
Rb 3.514 2.038 0.000
Rb 3.514 -2.038 0.000
Tb 2.341 4.059 3.851
Tb 2.341 -4.059 3.851
In 2.341 0.000 3.851
S 1.194 1.987 2.377
S 0.045 0.000 5.329
S 1.194 -1.987 2.377
S 3.488 1.987 5.325
S 4.637 0.000 2.373
S 3.488 -1.987 5.325
```

- Symmetry: No. 12
- Formation energy (no corrections): -1.498 eV/atom
- VASP energy: -4.80 eV/atom
- Magnetic moment: 0.0 Bohr magnetons per cell


5.
Below is crystalline Rb2InTeS4 at its relaxed geometry, with properties calculated at the PBE-GGA level.

Cell and atoms, written as extended XYZ:
```
16
Lattice="0.000 7.840 10.892 3.496 0.000 10.892 3.496 7.840 0.000" Properties=species:S:1:pos:R:3 pbc="T T T"
Rb 2.622 5.880 1.097
Rb 4.370 9.800 6.542
Rb 2.622 5.880 15.241
Rb 4.370 9.800 20.686
In 2.622 5.880 8.169
In 4.370 9.800 13.614
Te 0.874 1.960 2.723
Te 6.118 13.720 19.060
S 2.738 3.650 3.591
S 4.254 7.570 9.037
S 2.506 8.110 3.591
S 2.506 3.650 12.746
S 4.486 12.030 9.037
S 4.486 7.570 18.192
S 2.738 8.110 12.746
S 4.254 12.030 18.192
```

- Symmetry: No. 70
- Formation energy (no corrections): -0.530 eV/atom
- VASP energy: -3.57 eV/atom
- Magnetic moment: 0.0 Bohr magnetons per cell


6.
Below is crystalline RbUInS4 at its relaxed geometry, with properties calculated at the PBE-GGA level.

Cell and atoms, written as extended XYZ:
```
14
Lattice="-4.042 4.044 6.888 4.042 -4.044 6.888 4.042 4.044 -6.888" Properties=species:S:1:pos:R:3 pbc="T T T"
Rb 0.000 2.022 1.904
Rb 4.042 2.022 4.985
U 4.042 0.000 0.000
U 0.000 0.000 6.888
In 2.021 2.022 -3.444
In 2.021 -2.022 3.444
S 4.042 0.084 2.457
S 2.364 2.022 -0.279
S 5.719 2.022 -0.279
S 0.000 0.084 4.431
S 4.042 3.960 2.457
S -1.678 2.022 7.167
S 1.678 2.022 7.167
S 0.000 3.960 4.431
```

- Symmetry: No. 74
- Formation energy (no corrections): -0.995 eV/atom
- VASP energy: -5.50 eV/atom
- Magnetic moment: 0.0 Bohr magnetons per cell


7.
Below is crystalline Rb2VInS4 at its relaxed geometry, with properties calculated at the PBE-GGA level.

Cell and atoms, written as extended XYZ:
```
16
Lattice="0.000 7.034 11.870 3.070 0.000 11.870 3.070 7.034 0.000" Properties=species:S:1:pos:R:3 pbc="T T T"
Rb 2.302 5.276 1.304
Rb 3.837 8.793 7.239
Rb 2.302 5.276 16.500
Rb 3.837 8.793 22.435
V 2.302 5.276 8.902
V 3.837 8.793 14.837
In 0.767 1.759 2.967
In 5.372 12.310 20.772
S 2.417 3.108 4.226
S 3.722 6.625 10.161
S 2.187 7.443 4.226
S 2.187 3.108 13.578
S 3.952 10.961 10.161
S 3.952 6.625 19.513
S 2.417 7.443 13.578
S 3.722 10.961 19.513
```

- Symmetry: No. 70
- Formation energy (no corrections): -0.900 eV/atom
- VASP energy: -4.69 eV/atom
- Magnetic moment: 4.0 Bohr magnetons per cell


8.
Below is crystalline Rb3Y3InS8 at its relaxed geometry, with properties calculated at the PBE-GGA level.

Cell and atoms, written as extended XYZ:
```
15
Lattice="6.936 -3.999 0.000 6.936 3.999 0.000 -4.628 0.000 7.866" Properties=species:S:1:pos:R:3 pbc="T T T"
Rb 0.000 0.000 0.000
Rb 3.468 2.000 0.000
Rb 3.468 -2.000 0.000
Y 1.154 2.000 3.933
Y 1.154 -2.000 3.933
Y 4.621 0.000 3.933
In -2.314 0.000 3.933
S -0.049 0.000 5.409
S 3.488 2.040 5.409
S 5.755 2.040 2.457
S 2.310 0.000 2.423
S 6.933 0.000 5.443
S 3.488 -2.040 5.409
S 5.755 -2.040 2.457
S 9.292 0.000 2.457
```

- Symmetry: No. 12
- Formation energy (no corrections): -1.501 eV/atom
- VASP energy: -5.37 eV/atom
- Magnetic moment: 0.0 Bohr magnetons per cell


9.
Below is crystalline Rb2YInS4 at its relaxed geometry, with properties calculated at the PBE-GGA level.

Cell and atoms, written as extended XYZ:
```
16
Lattice="-4.204 4.229 6.030 4.204 -4.229 6.030 4.204 4.229 -6.030" Properties=species:S:1:pos:R:3 pbc="T T T"
Rb 0.000 0.000 0.000
Rb -2.102 2.114 3.015
Rb 0.000 4.229 0.000
Rb 2.102 2.114 3.015
Y 4.204 0.000 0.000
Y 0.000 0.000 6.030
In 2.102 2.114 -3.015
In 2.102 -2.114 3.015
S 4.204 -0.352 2.821
S 4.204 3.877 -2.821
S 2.395 2.114 -0.217
S 6.014 2.114 -0.217
S -1.810 2.114 6.247
S 1.810 2.114 6.247
S 0.000 0.352 8.852
S 0.000 4.581 3.209
```

- Symmetry: No. 74
- Formation energy (no corrections): -1.262 eV/atom
- VASP energy: -4.72 eV/atom
- Magnetic moment: 0.0 Bohr magnetons per cell


10.
Below is crystalline RbZn2InS4 at its relaxed geometry, with properties calculated at the PBE-GGA level.

Cell and atoms, written as extended XYZ:
```
8
Lattice="-3.088 3.088 5.440 3.088 -3.088 5.440 3.088 3.088 -5.440" Properties=species:S:1:pos:R:3 pbc="T T T"
Rb 0.000 0.000 0.000
Zn 3.088 0.000 2.720
Zn 0.000 3.088 2.720
In 0.000 0.000 5.440
S 1.300 -1.300 3.751
S 1.789 1.789 1.689
S -1.300 1.300 3.751
S 1.300 1.300 7.129
```

- Symmetry: No. 121
- Formation energy (no corrections): -0.684 eV/atom
- VASP energy: -3.53 eV/atom
- Magnetic moment: 0.0 Bohr magnetons per cell


11.
Below is crystalline Rb2ZrInS5 at its relaxed geometry, with properties calculated at the PBE-GGA level.

Cell and atoms, written as extended XYZ:
```
18
Lattice="1.922 -9.851 0.000 1.922 9.851 0.000 0.000 0.000 14.273" Properties=species:S:1:pos:R:3 pbc="T T T"
Rb 1.922 7.505 7.136
Rb 1.922 7.097 1.753
Rb 1.922 -7.097 8.889
Rb 1.922 -7.505 0.000
Zr 1.922 5.625 11.855
Zr 1.922 -5.625 4.719
In 1.922 1.252 3.609
In 1.922 -1.252 10.746
S 1.922 8.491 12.321
S 1.922 4.127 6.403
S 1.922 3.746 2.917
S 1.922 3.233 11.672
S 1.922 0.005 1.559
S 1.922 -0.005 8.695
S 1.922 -3.233 4.536
S 1.922 -3.746 10.053
S 1.922 -4.127 13.539
S 1.922 -8.491 5.184
```

- Symmetry: No. 36
- Formation energy (no corrections): -1.031 eV/atom
- VASP energy: -4.79 eV/atom
- Magnetic moment: 1.9 Bohr magnetons per cell


12.
Below is crystalline RbIn2Sb at its relaxed geometry, with properties calculated at the PBE-GGA level.

Cell and atoms, written as extended XYZ:
```
8
Lattice="5.167 0.000 0.000 0.000 5.167 0.000 0.000 0.000 11.281" Properties=species:S:1:pos:R:3 pbc="T T T"
Rb 1.292 1.292 2.771
Rb 3.875 3.875 8.510
In 1.292 1.292 10.567
In 1.292 3.875 5.640
In 3.875 1.292 5.640
In 3.875 3.875 0.714
Sb 1.292 1.292 7.381
Sb 3.875 3.875 3.899
```

- Symmetry: No. 129
- Formation energy (no corrections): -0.093 eV/atom
- VASP energy: -2.74 eV/atom
- Magnetic moment: 0.0 Bohr magnetons per cell